The following is a GGA+U calculation of a relaxed Li2TiV3O8 crystal, from the Alexandria database.

a b c (Å): 8.320 8.542 8.542
angles (deg): 90.00 90.00 90.00
Fractional positions:
Li1 0.002 0.003 0.499
Li2 0.247 0.248 0.753
Li3 0.253 0.752 0.253
Li4 0.498 0.997 0.999
Li5 0.502 0.497 0.501
Li6 0.747 0.252 0.247
Li7 0.753 0.748 0.747
Li8 0.998 0.503 0.001
Ti1 0.131 0.627 0.624
Ti2 0.369 0.373 0.124
Ti3 0.631 0.873 0.376
Ti4 0.869 0.127 0.876
V1 0.119 0.376 0.377
V2 0.122 0.127 0.126
V3 0.122 0.873 0.874
V4 0.378 0.127 0.374
V5 0.378 0.873 0.626
V6 0.381 0.624 0.877
V7 0.619 0.124 0.623
V8 0.622 0.373 0.874
V9 0.622 0.627 0.126
V10 0.878 0.373 0.626
V11 0.878 0.627 0.374
V12 0.881 0.876 0.123
O1 0.105 0.882 0.119
O2 0.108 0.108 0.887
O3 0.120 0.387 0.611
O4 0.122 0.612 0.393
O5 0.134 0.143 0.361
O6 0.135 0.855 0.630
O7 0.136 0.370 0.141
O8 0.141 0.633 0.859
O9 0.359 0.367 0.359
O10 0.364 0.630 0.641
O11 0.365 0.145 0.130
O12 0.366 0.857 0.861
O13 0.378 0.388 0.893
O14 0.380 0.613 0.111
O15 0.392 0.892 0.387
O16 0.395 0.118 0.619
O17 0.605 0.618 0.881
O18 0.608 0.392 0.113
O19 0.620 0.113 0.389
O20 0.622 0.888 0.607
O21 0.634 0.357 0.639
O22 0.635 0.645 0.370
O23 0.636 0.130 0.859
O24 0.641 0.867 0.141
O25 0.859 0.133 0.641
O26 0.864 0.870 0.359
O27 0.865 0.355 0.870
O28 0.866 0.643 0.139
O29 0.878 0.112 0.107
O30 0.880 0.887 0.889
O31 0.892 0.608 0.613
O32 0.895 0.382 0.381

Values from the calculation:
- V: 607.06 Å³/cell
- Symmetry: No. 19
- E_tot: -424.2 eV for the cell shown